Entry from Alexandria via LeMat-Bulk: a relaxed structure of LaAgS2 (PBE).

Formation energy from raw total energies in meV/atom: -1292
DOS(E_F) in states/eV/atom: 0.000
Spin magnetization in μB/atom: 0.000
Crystal system: monoclinic

CIF file:
```
data_LaAgS2
_space_group_name_H-M_alt 'C 1 2/c 1'
_space_group_IT_number 15
_cell_length_a 7.142
_cell_length_b 12.636
_cell_length_c 4.259
_cell_angle_alpha 90.00
_cell_angle_beta 96.89
_cell_angle_gamma 90.00
loop_
_space_group_symop_operation_xyz
'x,y,z'
'-x,-y,-z'
'-x,y,-z+1/2'
'x,-y,z+1/2'
'x+1/2,y+1/2,z'
'-x+1/2,-y+1/2,-z'
'-x+1/2,y+1/2,-z+1/2'
'x+1/2,-y+1/2,z+1/2'
loop_
_atom_site_label
_atom_site_type_symbol
_atom_site_fract_x
_atom_site_fract_y
_atom_site_fract_z
La1 La 0.000 0.186 0.250
Ag1 Ag 0.000 0.419 0.750
S1 S 0.243 0.371 0.210
```

=====

Entry from Alexandria via LeMat-Bulk: a relaxed structure of LaAgS2 (PBE).

Formation energy from raw total energies in meV/atom: -1333
DOS(E_F) in states/eV/atom: 0.000
Spin magnetization in μB/atom: 0.000
Crystal system: monoclinic

CIF file:
```
data_LaAgS2
_space_group_name_H-M_alt 'C 1 2/m 1'
_space_group_IT_number 12
_cell_length_a 7.421
_cell_length_b 4.254
_cell_length_c 6.441
_cell_angle_alpha 90.00
_cell_angle_beta 113.38
_cell_angle_gamma 90.00
loop_
_space_group_symop_operation_xyz
'x,y,z'
'-x,-y,-z'
'-x,y,-z'
'x,-y,z'
'x+1/2,y+1/2,z'
'-x+1/2,-y+1/2,-z'
'-x+1/2,y+1/2,-z'
'x+1/2,-y+1/2,z'
loop_
_atom_site_label
_atom_site_type_symbol
_atom_site_fract_x
_atom_site_fract_y
_atom_site_fract_z
La1 La 0.000 0.000 0.000
Ag1 Ag 0.000 0.500 0.500
S1 S 0.246 0.000 0.746
```

=====

Entry from Alexandria via LeMat-Bulk: a relaxed structure of LaAgS2 (PBE).

Formation energy from raw total energies in meV/atom: -1255
DOS(E_F) in states/eV/atom: 0.000
Spin magnetization in μB/atom: 0.000
Crystal system: tetragonal

CIF file:
```
data_LaAgS2
_space_group_name_H-M_alt 'I 4/m c m'
_space_group_IT_number 140
_space_group_name_Hall '-I 4 2c'
_cell_length_a 6.860
_cell_length_b 6.860
_cell_length_c 7.175
_cell_angle_alpha 90.00
_cell_angle_beta 90.00
_cell_angle_gamma 90.00
loop_
_atom_site_label
_atom_site_type_symbol
_atom_site_fract_x
_atom_site_fract_y
_atom_site_fract_z
La1 La 0.000 0.000 0.250
Ag1 Ag 0.000 0.500 0.250
S1 S 0.196 0.304 0.000
```

=====

Entry from Alexandria via LeMat-Bulk: a relaxed structure of La2AgS4 (PBE).

Energy above the lowest structure with this stoichiometry in meV per atom: 147
Formation energy from raw total energies in meV/atom: -1358
DOS(E_F) in states/eV/atom: 0.265
Spin magnetization in μB/atom: 0.000
Crystal system: tetragonal

CIF file:
```
data_La2AgS4
_space_group_name_H-M_alt 'I 4/m m m'
_space_group_IT_number 139
_space_group_name_Hall '-I 4 2'
_cell_length_a 4.712
_cell_length_b 4.712
_cell_length_c 15.247
_cell_angle_alpha 90.00
_cell_angle_beta 90.00
_cell_angle_gamma 90.00
loop_
_atom_site_label
_atom_site_type_symbol
_atom_site_fract_x
_atom_site_fract_y
_atom_site_fract_z
La1 La 0.000 0.000 0.135
Ag1 Ag 0.000 0.000 0.500
S1 S 0.000 0.000 0.315
S2 S 0.000 0.500 0.000
```

=====

Entry from Alexandria via LeMat-Bulk: a relaxed structure of La2AgS (PBE).

Energy above the lowest structure with this stoichiometry in meV per atom: 270
Formation energy from raw total energies in meV/atom: -805
DOS(E_F) in states/eV/atom: 1.396
Spin magnetization in μB/atom: 0.000
Crystal system: tetragonal

CIF file:
```
data_La2AgS
_space_group_name_H-M_alt 'I -4 2 d'
_space_group_IT_number 122
_space_group_name_Hall 'I -4 2bw'
_cell_length_a 7.789
_cell_length_b 7.789
_cell_length_c 8.087
_cell_angle_alpha 90.00
_cell_angle_beta 90.00
_cell_angle_gamma 90.00
loop_
_atom_site_label
_atom_site_type_symbol
_atom_site_fract_x
_atom_site_fract_y
_atom_site_fract_z
La1 La 0.226 0.750 0.125
Ag1 Ag 0.000 0.000 0.500
S1 S 0.000 0.000 0.000
```

=====

Entry from Alexandria via LeMat-Bulk: a relaxed structure of LaAgS2 (PBE).

Formation energy from raw total energies in meV/atom: -1139
DOS(E_F) in states/eV/atom: 0.277
Spin magnetization in μB/atom: 0.000
Crystal system: tetragonal

CIF file:
```
data_LaAgS2
_space_group_name_H-M_alt 'P 4/m m m'
_space_group_IT_number 123
_space_group_name_Hall '-P 4 2'
_cell_length_a 4.806
_cell_length_b 4.806
_cell_length_c 3.622
_cell_angle_alpha 90.00
_cell_angle_beta 90.00
_cell_angle_gamma 90.00
loop_
_atom_site_label
_atom_site_type_symbol
_atom_site_fract_x
_atom_site_fract_y
_atom_site_fract_z
La1 La 0.000 0.000 0.000
Ag1 Ag 0.500 0.500 0.000
S1 S 0.000 0.500 0.500
```